1.
The following is a PBE-GGA calculation of an optimized crystal structure of CsBaTl2Rh, from the Alexandria database.

CIF file:
```
data_CsBaTl2Rh
_space_group_name_H-M_alt 'P 1'
_space_group_IT_number 1
_cell_length_a 5.533
_cell_length_b 5.533
_cell_length_c 5.856
_cell_angle_alpha 90.00
_cell_angle_beta 90.00
_cell_angle_gamma 90.00
loop_
_space_group_symop_operation_xyz
'x,y,z'
loop_
_atom_site_label
_atom_site_type_symbol
_atom_site_fract_x
_atom_site_fract_y
_atom_site_fract_z
_atom_site_occupancy
Ba1 Ba 0.000 0.000 0.500 1
Tl1 Tl 0.000 0.500 0.000 1
Tl2 Tl 0.500 0.000 0.000 1
Cs1 Cs 0.500 0.500 0.500 1
Rh1 Rh 0.000 0.000 0.000 1
```

Summary:
For the calculated formation energy, the calculation gives -0.13 eV per atom.

***

2.
The following is a PBE-GGA calculation of an optimized crystal structure of RhWBr2, from the Alexandria database.

CIF file:
```
data_RhWBr2
_space_group_name_H-M_alt 'P 1'
_space_group_IT_number 1
_cell_length_a 5.915
_cell_length_b 5.915
_cell_length_c 6.753
_cell_angle_alpha 64.03
_cell_angle_beta 64.03
_cell_angle_gamma 90.00
loop_
_space_group_symop_operation_xyz
'x,y,z'
loop_
_atom_site_label
_atom_site_type_symbol
_atom_site_fract_x
_atom_site_fract_y
_atom_site_fract_z
_atom_site_occupancy
W1 W 0.750 0.250 0.500 1
W2 W 0.000 0.000 0.000 1
Br1 Br 0.375 0.371 0.750 1
Br2 Br 0.875 0.879 0.750 1
Br3 Br 0.121 0.625 0.250 1
Br4 Br 0.629 0.125 0.250 1
Rh1 Rh 0.500 0.500 0.000 1
Rh2 Rh 0.250 0.750 0.500 1
```

Summary:
The uncorrected formation energy comes out at 1.186 eV per atom.